Entry 1:
Below is a relaxed Te3HPd crystal, with properties calculated at the PBE level.

Cell: 4.682 4.682 4.682 Å, 90.00 90.00 90.00°
Fractional positions:
H 0.000 0.000 0.000
Te 0.000 0.500 0.000
Te 0.000 0.000 0.500
Te 0.500 0.000 0.000
Pd 0.500 0.500 0.500

Results
The value obtained for the volume is 103 Å³ per cell.



Entry 2:
Below is a relaxed Rb2GaAu2 crystal, with properties calculated at the PBE level.

Cell: 4.916 8.867 8.483 Å, 90.00 106.84 90.00°
Fractional positions:
Rb 0.934 0.699 0.868
Rb 0.778 0.384 0.556
Rb 0.222 0.884 0.444
Rb 0.066 0.199 0.132
Ga 0.415 0.101 0.829
Ga 0.585 0.601 0.171
Au 0.464 0.392 0.928
Au 0.871 0.058 0.742
Au 0.129 0.558 0.258
Au 0.536 0.892 0.072

Results
Its formation energy is -1.29 eV/f.u. The value obtained for the volume is 354 Å³ per cell.



Entry 3:
Below is a relaxed NbTcC3 crystal, with properties calculated at the PBE level.

Cell: 4.069 4.069 4.069 Å, 90.00 90.00 90.00°
Fractional positions:
C 0.000 0.500 0.000
C 0.000 0.000 0.500
C 0.500 0.000 0.000
Nb 0.000 0.000 0.000
Tc 0.500 0.500 0.500

Results
Its formation energy is 12.11 eV/f.u. The value obtained for the volume is 67 Å³ per cell.



Entry 4:
Below is a relaxed ZrPb crystal, with properties calculated at the PBE level.

Cell: 6.661 6.661 6.661 Å, 90.00 90.00 90.00°
Fractional positions:
Zr 0.250 0.250 0.250
Zr 0.250 0.750 0.750
Zr 0.750 0.250 0.750
Zr 0.750 0.750 0.250
Pb 0.000 0.000 0.000
Pb 0.000 0.500 0.500
Pb 0.500 0.000 0.500
Pb 0.500 0.500 0.000

Results
Its formation energy is 1.62 eV/f.u. The value obtained for the volume is 295 Å³ per cell.



Entry 5:
Below is a relaxed Sc4TiN4 crystal, with properties calculated at the PBE level.

Cell: 5.251 5.251 6.070 Å, 115.63 115.63 90.00°
Fractional positions:
Sc 0.500 0.000 0.000
Sc 0.000 0.500 0.000
Sc 0.287 0.287 0.573
Sc 0.713 0.713 0.427
Ti 0.000 0.000 0.000
N 0.656 0.656 0.763
N 0.344 0.893 0.237
N 0.107 0.107 0.763
N 0.893 0.344 0.237

Results
Its formation energy without anion corrections is -115.6 kJ per mole of atoms. The value obtained for the volume is 132 Å³ per cell.



Entry 6:
Below is a relaxed In4CuP crystal, with properties calculated at the PBE level.

Cell: 6.000 6.000 6.000 Å, 60.00 60.00 60.00°
Fractional positions:
In 0.875 0.375 0.375
In 0.375 0.375 0.875
In 0.375 0.875 0.375
In 0.375 0.375 0.375
Cu 0.000 0.000 0.000
P 0.750 0.750 0.750

Results
Its formation energy is 3.82 eV/f.u. The value obtained for the volume is 153 Å³ per cell.



Total DFT energy (no corrections): -14.73, -25.62, -36.00, -42.54, -77.30, -16.64 (eV/cell)